{
  "formula": "K2RbGaAu",
  "functional": "PBE",
  "state": "relaxed",
  "total_energy_ry_per_atom": -0.1462,
  "m_tot_mub_per_fu": 0.000,
  "e_form_ev_per_atom": -0.0958,
  "polymorph_energy_mev_per_atom": 0,
  "lattice_angstrom": [[6.653, 0.000, 0.000], [0.000, 6.653, 0.000], [0.000, 0.000, 4.979]],
  "species": ["K", "K", "Rb", "Ga", "Au"],
  "frac_coords": [[0.000, 0.500, 0.000], [0.500, 0.000, 0.000], [0.000, 0.000, 0.500], [0.500, 0.500, 0.500], [0.500, 0.500, 0.000]]
}